Density functional theory data (PBE) for a relaxed structure of UFeSi2Ni2.

CIF file:
```
data_UFeSi2Ni2
_chemical_formula_sum 'U1 Fe1 Si2 Ni2'
_space_group_name_H-M_alt 'P 1'
_space_group_IT_number 1
_space_group_name_Hall 'P 1'
_cell_length_a 4.360
_cell_length_b 4.360
_cell_length_c 4.772
_cell_angle_alpha 90.00
_cell_angle_beta 90.00
_cell_angle_gamma 90.00
loop_
_atom_site_label
_atom_site_type_symbol
_atom_site_fract_x
_atom_site_fract_y
_atom_site_fract_z
U1 U 0.000 0.000 0.500
Si1 Si 0.000 0.500 0.000
Si2 Si 0.500 0.000 0.000
Ni1 Ni 0.500 0.500 0.256
Ni2 Ni 0.500 0.500 0.744
Fe1 Fe 0.000 0.000 0.000
```

Summary:
formation energy (no corrections): -104 meV per atom
calculated density: 8.56 g/cm3
final energy: -42.78 eV/cell